Record 1
# La7PmI12, optimized geometry, DFT PBE
data_La7PmI12
_chemical_formula_sum 'La21 Pm3 I36'
_cell_length_a 16.7359
_cell_length_b 16.7359
_cell_length_c 10.8515
_cell_angle_alpha 90.00
_cell_angle_beta 90.00
_cell_angle_gamma 120.00
_symmetry_space_group_name_H-M 'R -3'
_symmetry_Int_Tables_number 148
_symmetry_space_group_name_Hall '-R 3'
loop_
_atom_site_label
_atom_site_type_symbol
_atom_site_fract_x
_atom_site_fract_y
_atom_site_fract_z
La1 La 0.0000 0.0000 0.0000
La2 La 0.0457 0.1661 0.3287
Pm1 Pm 0.0000 0.0000 0.5000
I1 I 0.0299 0.5892 0.1617
I2 I 0.0516 0.1878 0.8496
# DOS at the Fermi energy = 36.901 states/eV/cell
# V = 2632.2 Å³ per cell
# Formation energy without anion corrections = -1.152 eV/atom
# Total DFT energy (no corrections) = -4.044 eV per atom

Record 2
# La2PmI8, optimized geometry, DFT PBE
data_La2PmI8
_chemical_formula_sum 'La4 Pm2 I16'
_cell_length_a 16.015
_cell_length_b 11.913
_cell_length_c 6.622
_cell_angle_alpha 90.00
_cell_angle_beta 90.75
_cell_angle_gamma 90.00
_symmetry_space_group_name_H-M 'C 1 2/m 1'
_symmetry_Int_Tables_number 12
loop_
_symmetry_equiv_pos_as_xyz
'x,y,z'
'-x,-y,-z'
'-x,y,-z'
'x,-y,z'
'x+1/2,y+1/2,z'
'-x+1/2,-y+1/2,-z'
'-x+1/2,y+1/2,-z'
'x+1/2,-y+1/2,z'
loop_
_atom_site_label
_atom_site_type_symbol
_atom_site_fract_x
_atom_site_fract_y
_atom_site_fract_z
La1 La 0.206 0.000 0.221
Pm1 Pm 0.000 0.000 0.500
I1 I 0.080 0.196 0.248
I2 I 0.108 0.500 0.753
I3 I 0.181 0.000 0.724
# V = 1263.4 Å³ per cell
# Formation energy without anion corrections = -1.306 eV/atom
# Total DFT energy (no corrections) = -3.761 eV per atom

Record 3
# LaPmI3, optimized geometry, DFT PBE
data_LaPmI3
_chemical_formula_sum 'La2 Pm2 I6'
_cell_length_a 8.093
_cell_length_b 4.028
_cell_length_c 12.684
_cell_angle_alpha 90.00
_cell_angle_beta 107.50
_cell_angle_gamma 90.00
_symmetry_space_group_name_H-M 'P 1 21/m 1'
_symmetry_Int_Tables_number 11
loop_
_symmetry_equiv_pos_as_xyz
'x,y,z'
'-x,-y,-z'
'-x,y+1/2,-z'
'x,-y+1/2,z'
loop_
_atom_site_label
_atom_site_type_symbol
_atom_site_fract_x
_atom_site_fract_y
_atom_site_fract_z
La1 La 0.130 0.250 0.173
Pm1 Pm 0.120 0.250 0.671
I1 I 0.196 0.250 0.440
I2 I 0.199 0.250 0.932
I3 I 0.465 0.750 0.245
# DOS at the Fermi energy = 8.081 states/eV/cell
# Energy relative to the lowest polymorph listed for this composition = 0.000 eV per atom
# V = 394.3 Å³ per cell
# Formation energy without anion corrections = -1.125 eV/atom
# Total DFT energy (no corrections) = -3.990 eV per atom

Record 4
# LaPmI, optimized geometry, DFT PBE
data_LaPmI
_chemical_formula_sum 'La2 Pm2 I2'
_cell_length_a 3.788
_cell_length_b 3.788
_cell_length_c 14.567
_cell_angle_alpha 90.00
_cell_angle_beta 90.00
_cell_angle_gamma 90.00
_symmetry_space_group_name_H-M 'I 4 m m'
_symmetry_Int_Tables_number 107
_symmetry_space_group_name_Hall 'I 4 -2'
loop_
_atom_site_label
_atom_site_type_symbol
_atom_site_fract_x
_atom_site_fract_y
_atom_site_fract_z
La1 La 0.000 0.000 0.000
Pm1 Pm 0.000 0.000 0.680
I1 I 0.000 0.000 0.336
# DOS at the Fermi energy = 8.819 states/eV/cell
# Energy relative to the lowest polymorph listed for this composition = 0.032 eV per atom
# V = 209.0 Å³ per cell
# Formation energy without anion corrections = -0.492 eV/atom
# Total DFT energy (no corrections) = -4.235 eV per atom

Record 5
# LaPmI4, optimized geometry, DFT PBE
data_LaPmI4
_chemical_formula_sum 'La2 Pm2 I8'
_cell_length_a 6.319
_cell_length_b 6.319
_cell_length_c 12.268
_cell_angle_alpha 90.00
_cell_angle_beta 90.00
_cell_angle_gamma 90.00
_symmetry_space_group_name_H-M 'I -4 m 2'
_symmetry_Int_Tables_number 119
_symmetry_space_group_name_Hall 'I -4 -2'
loop_
_atom_site_label
_atom_site_type_symbol
_atom_site_fract_x
_atom_site_fract_y
_atom_site_fract_z
La1 La 0.000 0.000 0.000
Pm1 Pm 0.000 0.500 0.750
I1 I 0.000 0.000 0.266
I2 I 0.000 0.500 0.011
# DOS at the Fermi energy = 6.955 states/eV/cell
# Energy relative to the lowest polymorph listed for this composition = 0.072 eV per atom
# V = 489.9 Å³ per cell
# Formation energy without anion corrections = -1.261 eV/atom
# Total DFT energy (no corrections) = -3.907 eV per atom

Record 6
# LaPmI2, optimized geometry, DFT PBE
data_LaPmI2
_chemical_formula_sum 'La3 Pm3 I6'
_cell_length_a 3.9458
_cell_length_b 3.9458
_cell_length_c 28.9529
_cell_angle_alpha 90.00
_cell_angle_beta 90.00
_cell_angle_gamma 120.00
_symmetry_space_group_name_H-M 'R 3 m'
_symmetry_Int_Tables_number 160
_symmetry_space_group_name_Hall 'R 3 -2"'
loop_
_atom_site_label
_atom_site_type_symbol
_atom_site_fract_x
_atom_site_fract_y
_atom_site_fract_z
La1 La 0.0000 0.0000 0.0000
Pm1 Pm 0.0000 0.0000 0.1635
I1 I 0.0000 0.0000 0.4171
I2 I 0.0000 0.0000 0.5793
# DOS at the Fermi energy = 7.337 states/eV/cell
# Energy relative to the lowest polymorph listed for this composition = 0.000 eV per atom
# V = 390.4 Å³ per cell
# Formation energy without anion corrections = -0.931 eV/atom
# Total DFT energy (no corrections) = -4.125 eV per atom